DFT (GGA-PBE) results for a geometry-optimized AcCd2Pd2 structure.

Cell lengths 5.6117, 5.6117, 9.6477 Å; angles 97.76, 97.76, 122.25 degrees
Fractional positions:
Ac: 0.1245 0.8755 0.7500
Ac: 0.8755 0.1245 0.2500
Cd: 0.2519 0.5031 0.0019
Cd: 0.4969 0.7481 0.4981
Cd: 0.5031 0.2519 0.5019
Cd: 0.7481 0.4969 0.9981
Pd: 0.2050 0.7950 0.2500
Pd: 0.4553 0.5447 0.7500
Pd: 0.5447 0.4553 0.2500
Pd: 0.7950 0.2050 0.7500

## Properties
- N(E_F) (states/eV per cell) = 4.249
- formation energy (eV per atom) = -0.473
- magnetization (μB per cell) = 0.000
- total energy (eV/f.u.) = -18.7